# 1
Here is Mn2CoGe at its PBEsol-relaxed geometry from Alexandria. Energies are from meta-GGA SCAN.

Cell lengths 3.988, 3.988, 3.988 Å; angles 60.00, 60.00, 60.00 degrees
Site moments in Bohr magnetons follow the coordinates.
Sites, in units of the cell vectors:
Ge  0.750  0.750  0.750  0.03
Mn  0.000  0.000  0.000  -1.63
Mn  0.250  0.250  0.250  3.22
Co  0.500  0.500  0.500  1.37

* D(E_F): 1.78 states/eV/f.u.
* SG: No. 216
* energy: -74.134 eV/f.u.

***

# 2
Here is Mn4CoNi3Ge4 at its PBEsol-relaxed geometry from Alexandria. Energies are from meta-GGA SCAN.

Cell lengths 3.631, 5.822, 7.005 Å; angles 90.28, 90.00, 90.00 degrees
Site moments in Bohr magnetons follow the coordinates.
Sites, in units of the cell vectors:
Mn  0.000  0.464  0.684  3.33
Mn  0.000  0.964  0.820  3.33
Mn  0.500  0.535  0.317  3.31
Mn  0.500  0.037  0.181  3.32
Co  0.000  0.354  0.059  0.41
Ni  0.000  0.857  0.442  0.04
Ni  0.500  0.646  0.940  0.08
Ni  0.500  0.145  0.559  0.06
Ge  0.000  0.747  0.126  -0.12
Ge  0.000  0.252  0.373  -0.12
Ge  0.500  0.250  0.877  -0.11
Ge  0.500  0.750  0.625  -0.12

* D(E_F): 7.16 states/eV/f.u.
* SG: No. 6
* energy: -219.884 eV/f.u.

***

# 3
Here is PrMnCoGe2 at its PBEsol-relaxed geometry from Alexandria. Energies are from meta-GGA SCAN.

Cell lengths 4.011, 4.011, 5.906 Å; angles 109.85, 109.85, 90.00 degrees
Site moments in Bohr magnetons follow the coordinates.
Sites, in units of the cell vectors:
Pr  0.000  0.000  0.000  0.06
Ge  0.371  0.371  0.743  -0.05
Ge  0.629  0.629  0.257  -0.05
Mn  0.750  0.250  0.500  3.28
Co  0.250  0.750  0.500  -1.07

* D(E_F): 2.18 states/eV/f.u.
* SG: No. 119
* energy: -120.247 eV/f.u.

***

# 4
Here is Mn2CoGeS at its PBEsol-relaxed geometry from Alexandria. Energies are from meta-GGA SCAN.

Cell lengths 4.225, 4.573, 4.573 Å; angles 90.00, 90.00, 90.00 degrees
Site moments in Bohr magnetons follow the coordinates.
Sites, in units of the cell vectors:
Ge  0.000  0.000  0.000  -0.13
Mn  0.000  0.000  0.500  4.05
Mn  0.000  0.500  0.000  4.05
Co  0.500  0.000  0.000  0.86
S  0.500  0.500  0.500  0.10

* ΔE_f (raw): 555 meV per atom
* D(E_F): 3.44 states/eV/f.u.
* SG: No. 123

***

# 5
Here is Mn4Co4Si3Ge at its PBEsol-relaxed geometry from Alexandria. Energies are from meta-GGA SCAN.

Cell lengths 3.625, 5.629, 6.834 Å; angles 90.38, 90.00, 90.00 degrees
Site moments in Bohr magnetons follow the coordinates.
Sites, in units of the cell vectors:
Mn  0.000  0.460  0.687  3.29
Mn  0.000  0.972  0.821  3.30
Mn  0.500  0.528  0.309  3.29
Mn  0.500  0.031  0.183  3.27
Co  0.000  0.344  0.059  0.75
Co  0.000  0.848  0.436  0.64
Co  0.500  0.654  0.947  0.72
Co  0.500  0.164  0.557  0.80
Si  0.000  0.739  0.124  -0.14
Si  0.000  0.238  0.374  -0.15
Si  0.500  0.261  0.878  -0.15
Ge  0.500  0.759  0.625  -0.11

* ΔE_f (raw): -488 meV per atom
* D(E_F): 3.39 states/eV/f.u.
* SG: No. 6

***

# 6
Here is CoGe2Mo at its PBEsol-relaxed geometry from Alexandria. Energies are from meta-GGA SCAN.

Cell lengths 4.227, 4.227, 4.227 Å; angles 60.00, 60.00, 60.00 degrees
Sites, in units of the cell vectors:
Mo  0.500  0.500  0.500
Co  0.000  0.000  0.000
Ge  0.250  0.250  0.250
Ge  0.750  0.750  0.750

* D(E_F): 1.72 states/eV/f.u.
* SG: No. 225
* energy: -89.827 eV/f.u.

***

# 7
Here is CoGeNO2 at its PBEsol-relaxed geometry from Alexandria. Energies are from meta-GGA SCAN.

Cell lengths 3.416, 3.821, 3.821 Å; angles 90.00, 90.00, 90.00 degrees
Sites, in units of the cell vectors:
Ge  0.500  0.500  0.500
Co  0.000  0.000  0.000
O  0.000  0.000  0.500
O  0.000  0.500  0.000
N  0.500  0.000  0.000

* ΔE_f (raw): 34 meV per atom
* D(E_F): 2.65 states/eV/f.u.
* SG: No. 123

***

# 8
Here is CoGeTeN2 at its PBEsol-relaxed geometry from Alexandria. Energies are from meta-GGA SCAN.

Cell lengths 3.744, 3.744, 5.151 Å; angles 90.00, 90.00, 90.00 degrees
Sites, in units of the cell vectors:
Ge  0.500  0.500  0.500
Te  0.000  0.000  0.500
Co  0.000  0.000  0.000
N  0.000  0.500  0.000
N  0.500  0.000  0.000

* ΔE_f (raw): 1220 meV per atom
* D(E_F): 4.35 states/eV/f.u.
* SG: No. 123

***

# 9
Here is CoGeTe2N at its PBEsol-relaxed geometry from Alexandria. Energies are from meta-GGA SCAN.

Cell lengths 3.368, 5.286, 5.286 Å; angles 90.00, 90.00, 90.00 degrees
Sites, in units of the cell vectors:
Ge  0.500  0.500  0.500
Te  0.000  0.000  0.500
Te  0.000  0.500  0.000
Co  0.000  0.000  0.000
N  0.500  0.000  0.000

* ΔE_f (raw): 347 meV per atom
* D(E_F): 2.22 states/eV/f.u.
* SG: No. 123

***

# 10
Here is NaCo2GeRh at its PBEsol-relaxed geometry from Alexandria. Energies are from meta-GGA SCAN.

Cell lengths 4.122, 4.122, 4.531 Å; angles 90.00, 90.00, 90.00 degrees
Site moments in Bohr magnetons follow the coordinates.
Sites, in units of the cell vectors:
Co  0.000  0.500  0.000  1.88
Co  0.500  0.000  0.000  1.88
Ge  0.000  0.000  0.500  0.00
Rh  0.500  0.500  0.500  0.23
Na  0.000  0.000  0.000  0.00

* D(E_F): 3.36 states/eV/f.u.
* SG: No. 123
* energy: -82.857 eV/f.u.

***

# 11
Here is NaCoSn2Ge at its PBEsol-relaxed geometry from Alexandria. Energies are from meta-GGA SCAN.

Cell lengths 5.091, 5.266, 5.266 Å; angles 90.00, 90.00, 90.00 degrees
Site moments in Bohr magnetons follow the coordinates.
Sites, in units of the cell vectors:
Na  0.500  0.000  0.000  0.00
Ge  0.000  0.000  0.000  0.04
Co  0.500  0.500  0.500  2.10
Sn  0.000  0.000  0.500  -0.02
Sn  0.000  0.500  0.000  -0.02

* D(E_F): 2.57 states/eV/f.u.
* SG: No. 123
* energy: -108.229 eV/f.u.

***

# 12
Here is Nb9Co4Ge at its PBEsol-relaxed geometry from Alexandria. Energies are from meta-GGA SCAN.

Cell lengths 5.004, 9.563, 9.563 Å; angles 86.08, 74.83, 74.83 degrees
Sites, in units of the cell vectors:
Nb  0.931  0.364  0.775
Nb  0.413  0.253  0.922
Nb  0.913  0.922  0.253
Nb  0.834  0.253  0.078
Nb  0.166  0.747  0.922
Nb  0.706  0.225  0.364
Nb  0.087  0.078  0.747
Nb  0.334  0.078  0.253
Nb  0.794  0.636  0.775
Nb  0.069  0.636  0.225
Nb  0.587  0.747  0.078
Nb  0.431  0.775  0.364
Nb  0.294  0.775  0.636
Nb  0.750  0.500  0.500
Nb  0.206  0.364  0.225
Nb  0.250  0.500  0.500
Nb  0.666  0.922  0.747
Nb  0.569  0.225  0.636
Co  0.133  0.234  0.500
Co  0.633  0.500  0.234
Co  0.500  0.000  0.500
Co  0.367  0.500  0.766
Co  0.867  0.766  0.500
Co  0.000  0.000  0.500
Co  0.500  0.500  0.000
Co  0.000  0.500  0.000
Ge  0.250  0.000  0.000
Ge  0.750  0.000  0.000

* D(E_F): 13.30 states/eV/f.u.
* SG: No. 140
* energy: -388.505 eV/f.u.

***

# 13
Here is Nb2Co3Ge at its PBEsol-relaxed geometry from Alexandria. Energies are from meta-GGA SCAN.

Cell lengths 4.844, 4.844, 7.560 Å; angles 90.00, 90.00, 120.00 degrees
Sites, in units of the cell vectors:
Nb  0.333  0.667  0.561
Nb  0.667  0.333  0.439
Nb  0.667  0.333  0.061
Nb  0.333  0.667  0.939
Co  0.828  0.172  0.750
Co  0.656  0.828  0.250
Co  0.172  0.828  0.250
Co  0.828  0.656  0.750
Co  0.172  0.344  0.250
Co  0.344  0.172  0.750
Ge  0.000  0.000  0.500
Ge  0.000  0.000  0.000

* D(E_F): 6.12 states/eV/f.u.
* SG: No. 194
* energy: -138.721 eV/f.u.

***

# 14
Here is NbCoGe2 at its PBEsol-relaxed geometry from Alexandria. Energies are from meta-GGA SCAN.

Cell lengths 4.325, 4.325, 4.325 Å; angles 60.00, 60.00, 60.00 degrees
Site moments in Bohr magnetons follow the coordinates.
Sites, in units of the cell vectors:
Nb  0.500  0.500  0.500  0.20
Co  0.000  0.000  0.000  0.61
Ge  0.250  0.250  0.250  -0.02
Ge  0.750  0.750  0.750  -0.02

* D(E_F): 5.75 states/eV/f.u.
* SG: No. 225
* energy: -88.111 eV/f.u.

***

# 15
Here is Nb3CoGe at its PBEsol-relaxed geometry from Alexandria. Energies are from meta-GGA SCAN.

Cell lengths 4.670, 4.670, 4.670 Å; angles 90.00, 90.00, 90.00 degrees
Site moments in Bohr magnetons follow the coordinates.
Sites, in units of the cell vectors:
Nb  0.000  0.500  0.000  -0.05
Nb  0.000  0.000  0.500  -0.05
Nb  0.500  0.000  0.000  -0.05
Co  0.500  0.500  0.500  2.13
Ge  0.000  0.000  0.000  0.00

* D(E_F): 2.22 states/eV/f.u.
* SG: No. 221
* energy: -130.424 eV/f.u.

***

# 16
Here is NbCoGe at its PBEsol-relaxed geometry from Alexandria. Energies are from meta-GGA SCAN.

Cell lengths 3.714, 6.279, 7.091 Å; angles 90.00, 90.00, 90.00 degrees
Sites, in units of the cell vectors:
Nb  0.250  0.478  0.184
Nb  0.750  0.022  0.684
Nb  0.250  0.978  0.316
Nb  0.750  0.522  0.816
Co  0.750  0.139  0.062
Co  0.750  0.639  0.438
Co  0.250  0.361  0.562
Co  0.250  0.861  0.938
Ge  0.750  0.769  0.118
Ge  0.750  0.269  0.382
Ge  0.250  0.231  0.882
Ge  0.250  0.731  0.618

* D(E_F): 0.92 states/eV/f.u.
* SG: No. 62
* energy: -70.972 eV/f.u.

***

# 17
Here is NdCo2Ge2 at its PBEsol-relaxed geometry from Alexandria. Energies are from meta-GGA SCAN.

Cell lengths 3.961, 3.961, 5.798 Å; angles 109.97, 109.97, 90.00 degrees
Sites, in units of the cell vectors:
Nd  0.000  0.000  0.000
Ge  0.368  0.368  0.737
Ge  0.632  0.632  0.263
Co  0.750  0.250  0.500
Co  0.250  0.750  0.500

* D(E_F): 2.05 states/eV/f.u.
* SG: No. 139
* energy: -119.350 eV/f.u.

***

# 18
Here is Nd4Co3Ge8 at its PBEsol-relaxed geometry from Alexandria. Energies are from meta-GGA SCAN.

Cell lengths 4.143, 4.195, 16.235 Å; angles 90.00, 90.00, 90.00 degrees
Sites, in units of the cell vectors:
Nd  0.000  0.000  0.107
Nd  0.000  0.500  0.605
Nd  0.500  0.500  0.392
Nd  0.500  0.000  0.893
Co  0.000  0.500  0.818
Co  0.500  0.500  0.191
Co  0.500  0.000  0.681
Ge  0.000  0.500  0.255
Ge  0.000  0.000  0.749
Ge  0.500  0.000  0.256
Ge  0.500  0.500  0.749
Ge  0.000  0.000  0.441
Ge  0.000  0.500  0.957
Ge  0.500  0.500  0.050
Ge  0.500  0.000  0.541

* D(E_F): 8.16 states/eV/f.u.
* SG: No. 25
* energy: -389.459 eV/f.u.

***

# 19
Here is Nd2Co3Ge5 at its PBEsol-relaxed geometry from Alexandria. Energies are from meta-GGA SCAN.

Cell lengths 5.762, 8.094, 8.094 Å; angles 93.09, 110.07, 110.07 degrees
Site moments in Bohr magnetons follow the coordinates.
Sites, in units of the cell vectors:
Nd  0.234  0.871  0.599  0.00
Nd  0.266  0.401  0.129  0.00
Nd  0.766  0.129  0.401  0.00
Nd  0.734  0.599  0.871  0.00
Co  0.382  0.260  0.536  0.08
Co  0.250  0.005  0.995  0.92
Co  0.750  0.995  0.005  0.92
Co  0.118  0.464  0.740  0.08
Co  0.618  0.740  0.464  0.08
Co  0.882  0.536  0.260  0.08
Ge  0.750  0.233  0.767  -0.01
Ge  0.250  0.767  0.233  -0.01
Ge  0.750  0.778  0.222  -0.01
Ge  0.250  0.222  0.778  -0.01
Ge  0.667  0.258  0.067  -0.01
Ge  0.250  0.507  0.493  -0.01
Ge  0.750  0.493  0.507  -0.01
Ge  0.167  0.067  0.258  -0.01
Ge  0.333  0.742  0.933  -0.01
Ge  0.833  0.933  0.742  -0.01

* D(E_F): 4.63 states/eV/f.u.
* SG: No. 15
* energy: -240.561 eV/f.u.

***

# 20
Here is NdCoGe2 at its PBEsol-relaxed geometry from Alexandria. Energies are from meta-GGA SCAN.

Cell lengths 4.168, 4.192, 8.492 Å; angles 75.71, 90.00, 90.00 degrees
Sites, in units of the cell vectors:
Nd  0.750  0.109  0.783
Nd  0.250  0.891  0.217
Ge  0.250  0.546  0.909
Ge  0.750  0.454  0.091
Ge  0.250  0.250  0.500
Ge  0.750  0.750  0.500
Co  0.750  0.317  0.366
Co  0.250  0.683  0.634

* D(E_F): 1.84 states/eV/f.u.
* SG: No. 63
* energy: -101.866 eV/f.u.